No. 1
Compound: AcMgPRh2
Source: the Alexandria database
Functional: PBE-GGA
Structure: relaxed

Its volume is 196 Å³/cell. The final energy is -5.941 eV per atom. As for the size of the total moment: 0.00 μB/f.u.

The structure belongs to space group Imm2 (No. 44); the cell edges are 3.858, 4.309 and 11.774 Å and the angles 90.00°, 90.00° and 90.00°. The asymmetric unit holds Ac at (0.000, 0.000, 0.000), Mg at (0.000, 0.500, 0.759), P at (0.000, 0.000, 0.625), Rh at (0.000, 0.000, 0.421) and Rh at (0.000, 0.500, 0.242).

=====

No. 2
Compound: H3PdSe
Source: the Alexandria database
Functional: PBE-GGA
Structure: relaxed

Its volume is 51 Å³/cell. The final energy is -2.997 eV per atom. As for the size of the total moment: 0.00 μB/f.u.

The structure belongs to space group Pm-3m (No. 221); the cell edges are 3.703, 3.703 and 3.703 Å and the angles 90.00°, 90.00° and 90.00°. The asymmetric unit holds H at (0.000, 0.000, 0.500), Pd at (0.500, 0.500, 0.500) and Se at (0.000, 0.000, 0.000).

=====

No. 3
Compound: BaNaSe2
Source: the Alexandria database
Functional: PBE-GGA
Structure: relaxed

Its volume is 465 Å³/cell. The uncorrected formation energy comes out at -1.21 eV/atom. The final energy is -3.760 eV per atom. As for the size of the total moment: 0.63 μB/f.u.

The structure belongs to space group Fm-3m (No. 225); the cell edges are 7.746, 7.746 and 7.746 Å and the angles 90.00°, 90.00° and 90.00°. The asymmetric unit holds Ba at (0.000, 0.000, 0.000), Na at (0.000, 0.000, 0.500) and Se at (0.250, 0.250, 0.250).

=====

Among the records above, which one has the lowest volume? H3PdSe

=====

What is the final energy in the first record? -5.941 eV per atom

=====

The highest size of the total moment belongs to which entry? BaNaSe2

=====

Look up the final energy of the first one. -5.941 eV per atom